4
Lattice="0.0000 3.3103 3.3103 3.3103 0.0000 3.3103 3.3103 3.3103 0.0000" Properties=species:S:1:pos:R:3 comment="NaHf2Rh GGA-PBEsol relaxed" total_magnetization_mub_per_atom=0.00 formation_energy_mev_per_atom=89 energy_ev_per_cell=-30.2 pbc="T T T"
Na 0.0000 0.0000 0.0000
Hf 1.6551 1.6551 1.6551
Hf 4.9654 4.9654 4.9654
Rh 3.3103 3.3103 3.3103